A geometry-optimized Nd12Er2Tm structure, computed with PBE.

Summary:
The calculation puts the raw total energy at -273.69 eV for the cell shown. Its spin magnetization is 0.000 μB per atom. The value obtained for the energy of formation from the pure elements is 0.1593 eV/atom. Its volume is 2089.7 Å³/cell.

Unit cell a=7.1993 b=11.6291 c=24.9600 alpha=90.00 beta=90.00 gamma=90.00
Space group Cmme (No. 67)
One atom of each set of equivalent atoms:
Nd: 0.0000 0.0016 0.0732 [8 per cell]
Nd: 0.0000 0.0236 0.5604 [8 per cell]
Nd: 0.2310 0.2500 0.4141 [8 per cell]
Nd: 0.2488 0.2500 0.8700 [8 per cell]
Nd: 0.2500 0.0000 0.1981 [8 per cell]
Nd: 0.2500 0.0000 0.3239 [8 per cell]
Er: 0.0000 0.2500 0.2664 [4 per cell]
Er: 0.0000 0.2500 0.7299 [4 per cell]
Tm: 0.0000 0.2500 0.9993 [4 per cell]

A geometry-optimized LiZr2Ga9 structure, computed with PBE.

Summary:
The calculation puts the raw total energy at -50.57 eV for the cell shown. Its spin magnetization is 0.000 μB per atom. The value obtained for the energy of formation from the pure elements is -0.3598 eV/atom. Its volume is 208.4 Å³/cell.

Unit cell a=4.0934 b=4.0934 c=12.4371 alpha=90.00 beta=90.00 gamma=90.00
Space group P4/mmm (No. 123)
One atom of each set of equivalent atoms:
Li: 0.0000 0.0000 0.0000 [1 per cell]
Zr: 0.0000 0.0000 0.3366 [2 per cell]
Ga: 0.0000 0.5000 0.1585 [4 per cell]
Ga: 0.0000 0.5000 0.5000 [2 per cell]
Ga: 0.5000 0.5000 0.0000 [1 per cell]
Ga: 0.5000 0.5000 0.3293 [2 per cell]

A geometry-optimized Li2FeB structure, computed with PBE.

Summary:
The calculation puts the raw total energy at -67.17 eV for the cell shown. Its spin magnetization is 0.413 μB per atom. The value obtained for the energy of formation from the pure elements is 0.5435 eV/atom. Its volume is 176.7 Å³/cell.

Unit cell a=6.5727 b=6.5727 c=4.0913 alpha=90.00 beta=90.00 gamma=90.00
Space group I-42d (No. 122)
One atom of each set of equivalent atoms:
Li: 0.1965 0.2500 0.1250 [8 per cell]
Fe: 0.0000 0.0000 0.5000 [4 per cell]
B: 0.0000 0.0000 0.0000 [4 per cell]